Record 1
Al2HIr2, relaxed, DFT PBE-GGA; energy = -0.428 Ry per atom; ρ = 10.341 Mg/m³; D(E_F) = 3.917 states/eV/cell
1.0
6.853 0.000 0.000
0.000 6.853 0.000
0.000 0.000 3.005
Al H Ir
4 2 4
direct
0.143 0.357 0.000 Al
0.357 0.857 0.000 Al
0.643 0.143 0.000 Al
0.857 0.643 0.000 Al
0.000 0.000 0.500 H
0.500 0.500 0.500 H
0.156 0.656 0.500 Ir
0.344 0.156 0.500 Ir
0.656 0.844 0.500 Ir
0.844 0.344 0.500 Ir

---

Record 2
AlHIr2, relaxed, DFT PBE-GGA; energy above the lowest structure with this stoichiometry = 0.0 meV per atom; ρ = 14.600 Mg/m³; D(E_F) = 6.719 states/eV/cell
1.0
-3.025 3.025 2.563
3.025 -3.025 2.563
3.025 3.025 -2.563
Al H Ir
2 2 4
direct
0.000 0.000 0.000 Al
0.750 0.250 0.500 Al
0.250 0.750 0.500 H
0.500 0.500 0.000 H
0.217 0.625 0.092 Ir
0.375 0.467 0.592 Ir
0.533 0.125 0.908 Ir
0.875 0.783 0.408 Ir

---

Record 3
Al3HIr, relaxed, DFT PBE-GGA; energy above the lowest structure with this stoichiometry = 0.0 meV per atom; ρ = 7.583 Mg/m³; D(E_F) = 2.294 states/eV/cell
1.0
3.916 0.000 0.000
0.000 3.916 0.000
0.000 0.000 3.916
Al H Ir
3 1 1
direct
0.000 0.000 0.500 Al
0.000 0.500 0.000 Al
0.500 0.000 0.000 Al
0.000 0.000 0.000 H
0.500 0.500 0.500 Ir

---

Record 4
AlH4Ir, relaxed, DFT PBE-GGA; energy = -0.326 Ry per atom; ρ = 7.042 Mg/m³; D(E_F) = 0.224 states/eV/cell
1.0
-2.224 2.224 2.661
2.224 -2.224 2.661
2.224 2.224 -2.661
Al H Ir
1 4 1
direct
0.000 0.000 0.000 Al
0.066 0.498 0.026 H
0.472 0.040 0.974 H
0.502 0.528 0.569 H
0.960 0.934 0.431 H
0.750 0.250 0.500 Ir